Material: Li2ZrCr
Method: DFT, GGA-PBE
State: relaxed

Results
Formation enthalpy at 0 K: 0.48 eV per atom
Energy above the lowest structure with this stoichiometry: 169 meV/atom
VASP energy: -20.1 eV per formula unit

a = 4.6311 Å, b = 4.6311 Å, c = 4.6311 Å
α = 119.91°, β = 119.91°, γ = 90.15°
Sites, in units of the cell vectors:
Cr: 0.7500 0.2500 0.5000
Li: 0.0000 0.0000 0.0000
Li: 0.2500 0.7500 0.5000
Zr: 0.5000 0.5000 0.0000

***

Material: SmTlCuPd
Method: DFT, GGA-PBE
State: relaxed

Results
Formation enthalpy at 0 K: -0.36 eV per atom
VASP energy: -17.8 eV per formula unit

a = 4.8731 Å, b = 4.8731 Å, c = 4.8731 Å
α = 60.00°, β = 60.00°, γ = 60.00°
Sites, in units of the cell vectors:
Tl: 0.5000 0.5000 0.5000
Cu: 0.7500 0.7500 0.7500
Pd: 0.2500 0.2500 0.2500
Sm: 0.0000 0.0000 0.0000